[1]
The following is a PBE calculation of a relaxed PmGaSi crystal, from Alexandria via LeMat-Bulk.

Cell and atoms, written as POSCAR:
```
PmGaSi
1.0
4.154 0.000 0.000
0.000 4.173 0.000
0.000 -2.086 3.614
Si Ga Pm
1 1 1
Direct
0.166 0.000 0.000
0.167 0.667 0.333
0.667 0.333 0.667
```

Output
Total DFT energy (no corrections) ... -5.0859 eV/atom
Symmetry ... P-6m2 (187)
Spin magnetization ... 0.000 μB/atom
ρ ... 6.44 g/cm3


[2]
The following is a PBE calculation of a relaxed Pm2Ga2Si crystal, from Alexandria via LeMat-Bulk.

Cell and atoms, written as POSCAR:
```
Pm2Ga2Si
1.0
4.160 0.000 0.000
2.080 5.556 -0.022
2.080 0.830 9.928
Ga Pm Si
4 4 2
Direct
0.973 0.649 0.405
0.027 0.351 0.595
0.634 0.852 0.879
0.366 0.148 0.121
0.706 0.228 0.359
0.100 0.703 0.098
0.294 0.772 0.641
0.900 0.297 0.902
0.432 0.824 0.311
0.568 0.176 0.689
```

Output
Total DFT energy (no corrections) ... -4.8705 eV/atom
Symmetry ... C2/m (12)
Spin magnetization ... 0.000 μB/atom
ρ ... 6.62 g/cm3


[3]
The following is a PBE calculation of a relaxed Pm3GaSi4 crystal, from Alexandria via LeMat-Bulk.

Cell and atoms, written as POSCAR:
```
Pm3GaSi4
1.0
-0.583 3.062 -3.136
-4.769 1.892 2.734
6.828 2.327 4.119
Si Ga Pm
4 1 3
Direct
0.625 0.824 0.250
0.375 0.176 0.750
0.375 0.574 0.750
0.625 0.426 0.250
0.500 0.000 0.000
0.813 0.813 0.627
0.187 0.187 0.373
0.000 0.500 0.000
```

Output
Total DFT energy (no corrections) ... -5.3644 eV/atom
Symmetry ... Immm (71)
Spin magnetization ... 0.000 μB/atom
ρ ... 5.34 g/cm3


[4]
The following is a PBE calculation of a relaxed Pm2GaSi2 crystal, from Alexandria via LeMat-Bulk.

Cell and atoms, written as POSCAR:
```
Pm2GaSi2
1.0
4.177 0.000 0.000
2.089 5.330 0.528
2.089 1.684 5.085
Pm Si Ga
2 2 1
Direct
0.787 0.713 0.713
0.213 0.287 0.287
0.500 0.705 0.295
0.500 0.295 0.705
0.000 0.000 0.000
```

Output
Total DFT energy (no corrections) ... -5.3426 eV/atom
Symmetry ... Immm (71)
Spin magnetization ... 0.000 μB/atom
ρ ... 6.31 g/cm3


[5]
The following is a PBE calculation of a relaxed Pm2GaSi crystal, from Alexandria via LeMat-Bulk.

Cell and atoms, written as POSCAR:
```
Pm2GaSi
1.0
-1.687 -3.309 1.576
0.823 -2.882 -5.170
6.928 -0.952 5.417
Pm Si Ga
4 2 2
Direct
0.750 0.221 0.428
0.250 0.785 0.069
0.250 0.779 0.572
0.750 0.215 0.931
0.750 0.643 0.787
0.250 0.357 0.213
0.750 0.644 0.285
0.250 0.356 0.715
```

Output
Total DFT energy (no corrections) ... -5.2047 eV/atom
Symmetry ... P2_1/m (11)
Spin magnetization ... 0.000 μB/atom
ρ ... 6.50 g/cm3


[6]
The following is a PBE calculation of a relaxed Pm5GaSi6 crystal, from Alexandria via LeMat-Bulk.

Cell and atoms, written as POSCAR:
```
Pm5GaSi6
1.0
4.360 1.057 0.000
2.389 9.147 0.000
1.194 4.573 7.182
Si Pm Ga
6 5 1
Direct
0.748 0.081 0.340
0.252 0.919 0.660
0.252 0.579 0.340
0.761 0.741 0.000
0.748 0.421 0.660
0.239 0.259 0.000
0.500 0.858 0.285
0.500 0.500 0.000
0.000 0.328 0.344
0.000 0.672 0.656
0.500 0.142 0.715
0.000 0.000 0.000
```

Output
Total DFT energy (no corrections) ... -5.3251 eV/atom
Symmetry ... C2/m (12)
Spin magnetization ... 0.000 μB/atom
ρ ... 5.96 g/cm3


[7]
The following is a PBE calculation of a relaxed Pm12GaSi6 crystal, from Alexandria via LeMat-Bulk.

Cell and atoms, written as POSCAR:
```
Pm12GaSi6
1.0
8.808 0.000 0.000
-2.936 8.305 0.000
-2.936 -4.152 7.192
Pm Si Ga
12 6 1
Direct
0.705 0.892 0.187
0.295 0.483 0.187
0.108 0.813 0.295
0.813 0.705 0.517
0.892 0.187 0.705
0.295 0.108 0.813
0.187 0.705 0.892
0.517 0.813 0.705
0.483 0.187 0.295
0.705 0.517 0.813
0.187 0.295 0.483
0.813 0.295 0.108
0.885 0.385 0.500
0.115 0.615 0.500
0.500 0.885 0.385
0.500 0.115 0.615
0.615 0.500 0.115
0.385 0.500 0.885
0.000 0.000 0.000
```

Output
Total DFT energy (no corrections) ... -5.3944 eV/atom
Symmetry ... Im-3 (204)
Spin magnetization ... 0.000 μB/atom
ρ ... 6.24 g/cm3


[8]
The following is a PBE calculation of a relaxed Pm7Ga2Si crystal, from Alexandria via LeMat-Bulk.

Cell and atoms, written as POSCAR:
```
Pm7Ga2Si
1.0
-3.018 -0.992 7.098
4.279 -3.242 5.626
2.533 4.330 5.943
Ga Pm Si
2 7 1
Direct
0.750 0.750 0.750
0.250 0.250 0.250
0.245 0.755 0.245
0.755 0.755 0.245
0.245 0.245 0.755
0.755 0.245 0.245
0.245 0.755 0.755
0.755 0.245 0.755
0.500 0.500 0.500
0.000 0.000 0.000
```

Output
Total DFT energy (no corrections) ... -4.1205 eV/atom
Symmetry ... Fm-3m (225)
Spin magnetization ... 0.000 μB/atom
ρ ... 5.90 g/cm3


[9]
The following is a PBE calculation of a relaxed Pm3GaSi crystal, from Alexandria via LeMat-Bulk.

Cell and atoms, written as POSCAR:
```
Pm3GaSi
1.0
-6.590 3.271 2.405
-3.437 -7.399 0.644
4.176 2.586 7.925
Ga Pm Si
4 12 4
Direct
0.850 0.551 0.584
0.350 0.949 0.416
0.650 0.051 0.584
0.150 0.449 0.416
0.996 0.205 0.557
0.496 0.295 0.443
0.177 0.605 0.791
0.678 0.480 0.850
0.004 0.795 0.443
0.822 0.980 0.850
0.323 0.105 0.791
0.178 0.020 0.150
0.504 0.705 0.557
0.677 0.895 0.209
0.322 0.520 0.150
0.823 0.395 0.209
0.523 0.161 0.080
0.023 0.339 0.920
0.977 0.661 0.080
0.477 0.839 0.920
```

Output
Total DFT energy (no corrections) ... -5.0421 eV/atom
Symmetry ... P2_1/c (14)
Spin magnetization ... 0.000 μB/atom
ρ ... 6.46 g/cm3


[10]
The following is a PBE calculation of a relaxed Pm2Ga3Si crystal, from Alexandria via LeMat-Bulk.

Cell and atoms, written as POSCAR:
```
Pm2Ga3Si
1.0
5.961 0.171 0.000
-0.197 5.960 0.000
-2.882 -3.066 7.276
Ga Pm Si
6 4 2
Direct
0.665 0.665 0.832
0.167 0.167 0.832
0.833 0.833 0.168
0.335 0.335 0.168
0.832 0.832 0.665
0.168 0.168 0.335
0.250 0.750 0.500
0.253 0.747 0.000
0.747 0.253 0.000
0.750 0.250 0.500
0.667 0.667 0.334
0.333 0.333 0.666
```

Output
Total DFT energy (no corrections) ... -4.7089 eV/atom
Symmetry ... Fmmm (69)
Spin magnetization ... 0.000 μB/atom
ρ ... 6.77 g/cm3


[11]
The following is a PBE calculation of a relaxed Pm3GaSi3 crystal, from Alexandria via LeMat-Bulk.

Cell and atoms, written as POSCAR:
```
Pm3GaSi3
1.0
-2.978 -2.476 0.920
0.732 -2.248 -3.679
6.965 -3.012 5.825
Pm Si Ga
3 3 1
Direct
0.314 0.814 0.629
0.683 0.183 0.367
0.003 0.003 0.006
0.567 0.567 0.133
0.145 0.645 0.289
0.854 0.354 0.708
0.434 0.434 0.867
```

Output
Total DFT energy (no corrections) ... -5.5328 eV/atom
Symmetry ... Imm2 (44)
Spin magnetization ... 0.000 μB/atom
ρ ... 6.18 g/cm3


[12]
The following is a PBE calculation of a relaxed Pm2Ga2Si3 crystal, from Alexandria via LeMat-Bulk.

Cell and atoms, written as POSCAR:
```
Pm2Ga2Si3
1.0
4.075 0.000 0.000
-2.037 5.385 0.359
0.000 -2.417 6.294
Si Ga Pm
3 2 2
Direct
0.500 0.000 0.000
0.407 0.814 0.575
0.593 0.186 0.425
0.175 0.349 0.262
0.825 0.651 0.738
0.881 0.762 0.217
0.119 0.238 0.783
```

Output
Total DFT energy (no corrections) ... -5.0096 eV/atom
Symmetry ... C2/m (12)
Spin magnetization ... 0.000 μB/atom
ρ ... 6.02 g/cm3